SrLaBr2: optimized geometry, GGA-PBEsol.

Properties
**Energy relative to the elements, uncorrected**: -1.14 eV/atom
**Space-group type**: I-4m2, No. 119
**Magnetization**: 0.05 Bohr magnetons per cell

Cell lengths 4.266, 4.266, 7.747 Å; angles 105.98, 105.98, 90.00 degrees
Atoms (fractional coordinates):
Sr: 0.250 0.750 0.500
Br: 0.000 0.000 0.000
Br: 0.750 0.250 0.500
La: 0.500 0.500 0.000

SrLa2Br: optimized geometry, GGA-PBEsol.

Properties
**Energy relative to the elements, uncorrected**: -0.35 eV/atom
**Space-group type**: C2/m, No. 12
**Magnetization**: 0.00 Bohr magnetons per cell

Cell lengths 3.610, 5.628, 7.494 Å; angles 112.01, 103.87, 90.17 degrees
Atoms (fractional coordinates):
Sr: 0.500 0.500 0.000
Br: 0.000 0.000 0.000
La: 0.000 0.000 0.500
La: 0.500 0.500 0.500

SrLaBr2: optimized geometry, GGA-PBEsol.

Properties
**Energy relative to the elements, uncorrected**: -1.33 eV/atom
**Space-group type**: C2/m, No. 12
**Magnetization**: 0.00 Bohr magnetons per cell

Cell lengths 3.880, 4.765, 6.905 Å; angles 103.21, 90.00, 114.02 degrees
Atoms (fractional coordinates):
Sr: 0.000 0.000 0.500
Br: 0.752 0.504 0.748
Br: 0.248 0.496 0.252
La: 0.500 0.000 0.000

SrLaBr: optimized geometry, GGA-PBEsol.

Properties
**Energy relative to the elements, uncorrected**: -0.79 eV/atom
**Space-group type**: Fmm2, No. 42
**Magnetization**: 0.00 Bohr magnetons per cell

Cell lengths 3.784, 3.784, 8.128 Å; angles 97.96, 97.96, 113.89 degrees
Atoms (fractional coordinates):
Sr: 0.651 0.651 0.302
Br: 0.000 0.000 0.001
La: 0.348 0.348 0.697

Q: Which of these has the highest magnetization?
A: number 1

Q: Look up the energy relative to the elements, uncorrected of the third one.
A: -1.33 eV/atom

Q: The highest magnetization belongs to which entry?
A: number 1